8
Lattice="3.514 0.000 0.000 0.000 4.950 0.000 0.000 0.000 9.339" Properties=species:S:1:pos:R:3 comment="PBE-GGA MgWCl2, relaxed" volume_a3_per_atom=20.31 final_energy_ev_per_fu=-18.99 spacegroup="Cmm2, No. 35" pbc="T T T"
Mg 0.000 0.000 0.000
Mg 1.757 2.475 0.000
W 0.000 2.475 6.970
W 1.757 0.000 6.970
Cl 0.000 0.000 5.221
Cl 0.000 2.475 1.614
Cl 1.757 0.000 1.614
Cl 1.757 2.475 5.221